[1]
An optimized crystal structure of PmNd3Ho7, computed with PBE-GGA.

a = 8.7084 Å, b = 7.0731 Å, c = 7.0731 Å
α = 120.00°, β = 90.00°, γ = 90.00°
Last column: nearest neighbours and their distance in Å.
Atoms (fractional coordinates):
Ho 0.4448 0.3349 0.1675  7 Ho 3.46-3.55, 2 Pm 3.54, 2 Nd 3.59
Ho 0.1204 0.6657 0.8328  1 Pm 3.48, 8 Ho 3.49-3.55, 2 Nd 3.57
Ho 0.4448 0.8325 0.6651  7 Ho 3.46-3.55, 2 Pm 3.54, 2 Nd 3.59
Nd 0.7841 0.5003 0.4997  4 Nd 3.53-3.54, 5 Ho 3.57-3.59, 1 Pm 3.60
Nd 0.7841 0.5003 0.0006  4 Nd 3.53-3.54, 5 Ho 3.57-3.59, 1 Pm 3.60
Ho 0.1204 0.1672 0.3343  1 Pm 3.48, 8 Ho 3.49-3.55, 2 Nd 3.57
Nd 0.7841 0.9994 0.4997  4 Nd 3.53-3.54, 5 Ho 3.57-3.59, 1 Pm 3.60
Pm 0.4445 0.3333 0.6667  9 Ho 3.48-3.54, 3 Nd 3.60
Ho 0.1204 0.1672 0.8328  1 Pm 3.48, 8 Ho 3.49-3.55, 2 Nd 3.57
Ho 0.1226 0.6667 0.3333  9 Ho 3.46-3.54, 3 Nd 3.58
Ho 0.4448 0.8325 0.1675  7 Ho 3.46-3.55, 2 Pm 3.54, 2 Nd 3.59

Values from the calculation:
Formation enthalpy at 0 K: 4.10 kcal/mol of atoms
Spin magnetization: 0.00 Bohr magnetons per cell



[2]
An optimized crystal structure of Ho2MnZn3Cu12, computed with PBE-GGA.

a = 9.6014 Å, b = 9.6014 Å, c = 9.6014 Å
α = 37.35°, β = 37.35°, γ = 37.35°
Last column: nearest neighbours and their distance in Å.
Atoms (fractional coordinates):
Cu 0.5806 0.5806 0.1938  4 Cu 2.38-2.46, 2 Zn 2.39
Cu 0.9053 0.3890 0.9053  2 Cu 2.46, 1 Mn 2.47, 1 Zn 2.68
Cu 0.9053 0.9053 0.3890  2 Cu 2.46, 1 Mn 2.47, 1 Zn 2.68
Cu 0.3890 0.9053 0.9053  2 Cu 2.46, 1 Mn 2.47, 1 Zn 2.68
Cu 0.4194 0.4194 0.8062  4 Cu 2.38-2.46, 2 Zn 2.39
Cu 0.8062 0.4194 0.4194  4 Cu 2.38-2.46, 2 Zn 2.39
Ho 0.6458 0.6458 0.6458  6 Cu 2.95-2.97
Zn 0.0000 0.0000 0.5000  4 Cu 2.39
Zn 0.5000 0.0000 0.0000  4 Cu 2.39
Cu 0.0947 0.0947 0.6110  2 Cu 2.46, 1 Mn 2.47, 1 Zn 2.68
Cu 0.4194 0.8062 0.4194  4 Cu 2.38-2.46, 2 Zn 2.39
Mn 0.0000 0.0000 0.0000  6 Cu 2.47
Cu 0.5806 0.1938 0.5806  4 Cu 2.38-2.46, 2 Zn 2.39
Cu 0.1938 0.5806 0.5806  4 Cu 2.38-2.46, 2 Zn 2.39
Ho 0.3542 0.3542 0.3542  6 Cu 2.95-2.97
Cu 0.0947 0.6110 0.0947  2 Cu 2.46, 1 Mn 2.47, 1 Zn 2.68
Zn 0.0000 0.5000 0.0000  4 Cu 2.39
Cu 0.6110 0.0947 0.0947  2 Cu 2.46, 1 Mn 2.47, 1 Zn 2.68

Values from the calculation:
Formation enthalpy at 0 K: 3.63 kcal/mol of atoms
Spin magnetization: 3.48 Bohr magnetons per cell



[3]
An optimized crystal structure of PrDyScIn, computed with PBE-GGA.

a = 5.3850 Å, b = 5.3850 Å, c = 5.3857 Å
α = 120.00°, β = 120.00°, γ = 90.00°
Last column: nearest neighbours and their distance in Å.
Atoms (fractional coordinates):
In 0.5000 0.5000 0.0000  4 Dy 3.30, 4 Sc 3.30
Dy 0.7500 0.2500 0.5000  4 In 3.30, 4 Pr 3.30
Pr 0.0000 0.0000 0.0000  4 Dy 3.30, 4 Sc 3.30
Sc 0.2500 0.7500 0.5000  4 In 3.30, 4 Pr 3.30

Values from the calculation:
Formation enthalpy at 0 K: -2.02 kcal/mol of atoms
Spin magnetization: 1.94 Bohr magnetons per cell



[4]
An optimized crystal structure of TlCo2Tc, computed with PBE-GGA.

a = 2.8107 Å, b = 2.8107 Å, c = 7.3128 Å
α = 90.00°, β = 90.00°, γ = 90.02°
Last column: nearest neighbours and their distance in Å.
Atoms (fractional coordinates):
Co 0.0000 0.0000 0.4702  4 Tc 2.56, 4 Co 2.81, 4 Tl 2.85
Tl 0.5000 0.5000 0.7500  4 Tl 2.81, 8 Co 2.85
Tc 0.5000 0.5000 0.2500  8 Co 2.56, 4 Tc 2.81
Co 0.0000 0.0000 0.0298  4 Tc 2.56, 4 Co 2.81, 4 Tl 2.85

Values from the calculation:
Formation enthalpy at 0 K: 9.49 kcal/mol of atoms
Spin magnetization: 0.81 Bohr magnetons per cell



[5]
An optimized crystal structure of YCrSeN2, computed with PBE-GGA.

a = 3.8506 Å, b = 3.8506 Å, c = 4.9470 Å
α = 90.00°, β = 90.00°, γ = 90.00°
Last column: nearest neighbours and their distance in Å.
Atoms (fractional coordinates):
N 0.5000 0.0000 0.0000  2 Cr 1.93
Y 0.5000 0.5000 0.5000  4 Se 2.72
Cr 0.0000 0.0000 0.0000  4 N 1.93
N 0.0000 0.5000 0.0000  2 Cr 1.93
Se 0.0000 0.0000 0.5000  2 Cr 2.47, 4 Y 2.72

Values from the calculation:
Spin magnetization: 0.65 Bohr magnetons per cell
Uncorrected formation energy: -0.328 eV per atom



[6]
An optimized crystal structure of Li8Ag6Sn, computed with PBE-GGA.

a = 7.9889 Å, b = 7.9889 Å, c = 7.0914 Å
α = 55.72°, β = 55.72°, γ = 60.00°
Last column: nearest neighbours and their distance in Å.
Atoms (fractional coordinates):
Ag 0.9529 0.3018 0.1390  7 Li 2.68-2.95, 1 Ag 2.86, 1 Sn 2.88
Li 0.8743 0.5682 0.3560  5 Ag 2.68-2.95
Ag 0.0471 0.6982 0.8610  7 Li 2.68-2.95, 1 Ag 2.86, 1 Sn 2.88
Ag 0.6982 0.3937 0.8610  7 Li 2.68-2.95, 1 Ag 2.86, 1 Sn 2.88
Li 0.5682 0.2015 0.3560  5 Ag 2.68-2.95
Ag 0.3018 0.6063 0.1390  7 Li 2.68-2.95, 1 Ag 2.86, 1 Sn 2.88
Ag 0.3937 0.0471 0.8610  7 Li 2.68-2.95, 1 Ag 2.86, 1 Sn 2.88
Ag 0.6063 0.9529 0.1390  7 Li 2.68-2.95, 1 Ag 2.86, 1 Sn 2.88
Li 0.7985 0.1257 0.6440  5 Ag 2.68-2.95
Li 0.6712 0.6712 0.9865  6 Ag 2.70-2.73
Li 0.4318 0.7985 0.6440  5 Ag 2.68-2.95
Li 0.1257 0.4318 0.6440  5 Ag 2.68-2.95
Li 0.3288 0.3288 0.0135  6 Ag 2.70-2.73
Sn 0.0000 0.0000 0.0000  6 Ag 2.88, 6 Li 3.17
Li 0.2015 0.8743 0.3560  5 Ag 2.68-2.95

Values from the calculation:
Formation enthalpy at 0 K: -2.18 kcal/mol of atoms
Spin magnetization: 0.00 Bohr magnetons per cell